An optimized crystal structure of MnGa8Co2. Source: the Alexandria database, functional PBE.

Cell: 6.7293 6.7293 4.1216 Å, 90.00 90.00 105.51°
Fractional coordinates of all 11 atoms:
Mn 0.0000 0.0000 0.0000
Ga 0.1296 0.8704 0.5000
Ga 0.1367 0.3832 0.0000
Ga 0.3817 0.6183 0.5000
Ga 0.3832 0.1367 0.0000
Ga 0.6168 0.8633 0.0000
Ga 0.6183 0.3817 0.5000
Ga 0.8633 0.6168 0.0000
Ga 0.8704 0.1296 0.5000
Co 0.2487 0.7513 0.0000
Co 0.7513 0.2487 0.0000

* energy of formation from the pure elements: -2.05 eV/f.u.

***

An optimized crystal structure of TlCd8In3. Source: the Alexandria database, functional PBE.

Cell: 5.9259 5.9259 10.0326 Å, 90.00 90.00 120.00°
Fractional coordinates of all 12 atoms:
Tl 0.0000 0.0000 0.0000
Cd 0.1633 0.3266 0.6831
Cd 0.1633 0.8367 0.6831
Cd 0.3333 0.6667 0.4356
Cd 0.3333 0.6667 0.9347
Cd 0.5032 0.0065 0.1874
Cd 0.5032 0.4968 0.1874
Cd 0.6734 0.8367 0.6831
Cd 0.9935 0.4968 0.1874
In 0.0000 0.0000 0.3696
In 0.6667 0.3333 0.5012
In 0.6667 0.3333 0.8668

* energy of formation from the pure elements: 0.36 eV/f.u.

***

Q: Among the records above, which one has the lowest energy of formation from the pure elements?
A: MnGa8Co2

***

Q: Look up the energy of formation from the pure elements of the second one.
A: 0.36 eV/f.u.

***

Q: Which of these has the lowest energy of formation from the pure elements?
A: MnGa8Co2